{"formula": "TlTcO3", "functional": "PBE", "state": "relaxed", "crystal_system": "monoclinic", "formation_energy_uncorrected_ev_per_fu": -5.8, "energy_ev_per_atom": -6.680, "volume_a3_per_cell": 142, "lattice_angstrom": [[4.7875, 0.0465, 0.0280], [-0.0708, 6.4042, 0.0885], [-1.2443, -0.0835, 4.6225]], "species": ["Tl", "Tl", "Tc", "Tc", "O", "O", "O", "O", "O", "O"], "frac_coords": [[0.8720, 0.4716, 0.8165], [0.4053, 0.4718, 0.2831], [0.2818, 0.9716, 0.6929], [0.8244, 0.9717, 0.2355], [0.0527, 0.7375, 0.4638], [0.5532, 0.9717, 0.4645], [0.0533, 0.9717, 0.9643], [0.5535, 0.1704, 0.9647], [0.0538, 0.2058, 0.4649], [0.5526, 0.7729, 0.9638]]}